1.
Entry from the Alexandria database: a relaxed Tl2FeNi crystal (PBE-GGA).

Computed properties:
- Energy above the most stable polymorph in this dataset: 3.878 kcal/mol of atoms
- E_tot: -16.9 eV per cell
- DOS at the Fermi energy: 2.87 states/eV/f.u.
- ρ: 12.3 g/cm³
- Space-group type: P4/mmm (123)

Geometry as POSCAR:
```
Tl2FeNi
1.0
3.195 0.000 0.000
0.000 3.195 0.000
0.000 0.000 6.924
Tl Fe Ni
2 1 1
Direct
0.000 0.000 0.240
0.000 0.000 0.760
0.500 0.500 0.500
0.500 0.500 0.000
```

2.
Entry from the Alexandria database: a relaxed TlFe2Ni crystal (PBE-GGA).

Computed properties:
- Energy above the most stable polymorph in this dataset: 4.310 kcal/mol of atoms
- E_tot: -23.1 eV per cell
- DOS at the Fermi energy: 2.51 states/eV/f.u.
- ρ: 10.2 g/cm³
- Space-group type: R3m (160)

Geometry as POSCAR:
```
TlFe2Ni
1.0
1.484 0.857 7.999
-1.484 0.857 7.999
0.000 -1.714 7.999
Tl Fe Ni
1 2 1
Direct
0.000 0.000 0.000
0.501 0.501 0.501
0.763 0.763 0.763
0.243 0.243 0.243
```

3.
Entry from the Alexandria database: a relaxed TlFeNi3 crystal (PBE-GGA).

Computed properties:
- Energy above the most stable polymorph in this dataset: 0.000 kcal/mol of atoms
- E_tot: -24.0 eV per cell
- DOS at the Fermi energy: 5.82 states/eV/f.u.
- ρ: 8.7 g/cm³
- Space-group type: Pm-3m (221)

Geometry as POSCAR:
```
TlFeNi3
1.0
4.371 0.000 0.000
0.000 4.371 0.000
0.000 0.000 4.371
Tl Fe Ni
1 1 3
Direct
0.000 0.000 0.000
0.500 0.500 0.500
0.000 0.500 0.500
0.500 0.000 0.500
0.500 0.500 0.000
```

Question: Among the records above, which one has the lowest DOS at the Fermi energy?
Answer: TlFe2Ni